(1)
VASP calculation (GGA-PBE) on a relaxed Mg2NpRh3 crystal.

```
Mg2NpRh3
1.0
4.574 0.000 0.000
-2.287 3.961 0.000
0.000 0.000 11.164
Mg Np Rh
4 2 6
Cartesian
0.000 0.000 0.000
0.000 0.000 5.582
0.000 2.641 1.686
2.287 1.320 9.478
0.000 2.641 7.501
2.287 1.320 3.663
0.000 0.000 2.739
0.000 0.000 8.425
0.000 2.641 4.635
0.000 2.641 10.172
2.287 1.320 0.992
2.287 1.320 6.529
```

Results
ΔH_f (0 K) ... -0.497 eV/atom
Fermi-level density of states ... 1.01 states/eV/atom
Calculated density ... 9.76 Mg/m³


(2)
VASP calculation (GGA-PBE) on a relaxed SiSb2Te crystal.

```
SiSb2Te
1.0
3.471 0.000 0.000
0.000 3.471 0.000
0.000 0.000 8.621
Si Sb Te
1 2 1
Cartesian
0.000 0.000 0.000
1.735 1.735 1.561
1.735 1.735 7.060
0.000 0.000 4.310
```

Results
Excess energy over the best structure of this formula in the dataset ... 233 meV per atom
Fermi-level density of states ... 0.58 states/eV/atom
Raw formation energy ... 0.3179 eV/atom
Calculated density ... 6.38 Mg/m³


(3)
VASP calculation (GGA-PBE) on a relaxed Sm3Tl2Au crystal.

```
Sm3Tl2Au
1.0
3.662 0.000 0.000
0.000 3.662 0.000
0.000 0.000 12.310
Sm Tl Au
3 2 1
Cartesian
0.000 0.000 0.000
0.000 0.000 4.330
0.000 0.000 7.980
1.831 1.831 2.157
1.831 1.831 10.153
1.831 1.831 6.155
```

Results
Excess energy over the best structure of this formula in the dataset ... 0 meV per atom
ΔH_f (0 K) ... -0.516 eV/atom
Fermi-level density of states ... 0.81 states/eV/atom
Calculated density ... 10.63 Mg/m³


(4)
VASP calculation (GGA-PBE) on a relaxed Pm3Np3TaN8 crystal.

```
Pm3Np3TaN8
1.0
3.408 1.968 5.761
-3.408 1.968 5.761
0.000 -3.936 5.761
Pm Np Ta N
3 3 1 8
Cartesian
-1.704 -0.984 5.761
-1.704 0.984 11.521
0.000 1.968 5.761
-3.408 0.000 8.641
-1.704 0.984 2.880
1.704 0.984 2.880
0.000 0.000 8.641
0.000 0.000 4.188
-1.583 -0.914 9.797
0.000 -1.827 7.485
-1.583 0.914 7.485
1.583 -0.914 9.797
0.000 1.827 9.797
1.583 0.914 7.485
0.000 0.000 13.094
```

Results
Fermi-level density of states ... 1.38 states/eV/atom
Raw formation energy ... -1.2125 eV/atom
Calculated density ... 10.31 Mg/m³


(5)
VASP calculation (GGA-PBE) on a relaxed Nd2HoAl9 crystal.

```
Nd2HoAl9
1.0
2.822 1.629 8.826
-2.822 1.629 8.826
0.000 -3.259 8.826
Nd Ho Al
2 1 9
Cartesian
0.000 0.000 3.753
0.000 0.000 22.726
0.000 0.000 0.000
-1.442 -0.832 11.002
0.000 0.000 8.877
0.000 -1.665 15.478
-1.442 0.832 15.478
0.000 0.000 13.240
1.442 -0.832 11.002
0.000 1.665 11.002
0.000 0.000 17.603
1.442 0.832 15.478
```

Results
ΔH_f (0 K) ... -0.347 eV/atom
Fermi-level density of states ... 0.47 states/eV/atom
Calculated density ... 4.75 Mg/m³


(6)
VASP calculation (GGA-PBE) on a relaxed TcAs3S crystal.

```
TcAs3S
1.0
4.691 0.000 0.000
0.000 4.691 0.000
0.000 0.000 4.691
Tc As S
1 3 1
Cartesian
0.000 0.000 0.000
0.000 2.345 2.345
2.345 0.000 2.345
2.345 2.345 0.000
2.345 2.345 2.345
```

Results
Excess energy over the best structure of this formula in the dataset ... 595 meV per atom
Fermi-level density of states ... 0.72 states/eV/atom
Raw formation energy ... 1.1149 eV/atom
Calculated density ... 5.71 Mg/m³